{
  "formula": "Ce2Mo2O7",
  "functional": "PBE+U",
  "state": "relaxed",
  "cell": [[6.468, 0.000, 3.734], [2.156, 6.098, 3.734], [0.000, 0.000, 7.468]],
  "species": ["O", "O", "Ce", "O", "Mo", "O", "Mo", "Mo", "O", "O", "Ce", "O", "O", "Mo", "O", "O", "O", "O", "Ce", "O", "O", "Ce"],
  "fractional_positions": [[0.023, 0.023, 0.477], [0.227, 0.773, 0.227], [0.625, 0.125, 0.625], [0.500, 0.500, 0.500], [0.125, 0.625, 0.125], [0.477, 0.023, 0.023], [0.125, 0.125, 0.125], [0.125, 0.125, 0.625], [0.023, 0.477, 0.477], [0.227, 0.227, 0.773], [0.125, 0.625, 0.625], [0.750, 0.750, 0.750], [0.023, 0.477, 0.023], [0.625, 0.125, 0.125], [0.773, 0.227, 0.773], [0.227, 0.773, 0.773], [0.477, 0.023, 0.477], [0.773, 0.773, 0.227], [0.625, 0.625, 0.625], [0.773, 0.227, 0.227], [0.477, 0.477, 0.023], [0.625, 0.625, 0.125]],
  "space_group": "No. 227",
  "dft_energy_ev_per_fu": -89.3,
  "volume_a3_per_cell": 294.6
}